# 1
A plane-wave DFT calculation with PBE-GGA was carried out for an optimized crystal structure of PaVSi.

Lattice parameters (Å, degrees): 4.5790 8.0049 5.7536 90.00 90.00 90.00
Sites, in units of the cell vectors:
V (0.7500, 0.2872, 0.8317)
V (0.2500, 0.7128, 0.1683)
V (0.7500, 0.2128, 0.3317)
V (0.2500, 0.7872, 0.6683)
Pa (0.2500, 0.1010, 0.9085)
Pa (0.7500, 0.8990, 0.0915)
Pa (0.2500, 0.3990, 0.4085)
Pa (0.7500, 0.6010, 0.5915)
Si (0.7500, 0.5230, 0.1114)
Si (0.2500, 0.4770, 0.8886)
Si (0.7500, 0.9770, 0.6114)
Si (0.2500, 0.0230, 0.3886)

Formation energy from raw total energies: -0.19 eV/atom
Relative energy among the computed polymorphs: 242 meV per atom
VASP energy: -98.39 eV/cell
M_tot: 0.0 μB per formula unit

***

# 2
A plane-wave DFT calculation with PBE-GGA was carried out for an optimized crystal structure of PaSi2W2.

Lattice parameters (Å, degrees): 3.6441 4.8292 5.5365 105.16 109.21 90.00
Sites, in units of the cell vectors:
Pa (0.0000, 0.0000, 0.0000)
Si (0.7251, 0.1346, 0.4501)
Si (0.2749, 0.8654, 0.5499)
W (0.3591, 0.4293, 0.7181)
W (0.6409, 0.5707, 0.2819)

Formation energy from raw total energies: -0.14 eV/atom
VASP energy: -46.95 eV/cell
M_tot: 0.0 μB per formula unit

***

# 3
A plane-wave DFT calculation with PBE-GGA was carried out for an optimized crystal structure of Pa2SiW.

Lattice parameters (Å, degrees): 3.6768 3.6768 6.1645 90.00 90.00 90.00
Sites, in units of the cell vectors:
Si (0.5000, 0.5000, 0.0000)
Pa (0.0000, 0.0000, 0.7693)
Pa (0.0000, 0.0000, 0.2307)
W (0.5000, 0.5000, 0.5000)

Formation energy from raw total energies: -0.09 eV/atom
Relative energy among the computed polymorphs: 11 meV per atom
VASP energy: -37.72 eV/cell
M_tot: 0.0 μB per formula unit

***

# 4
A plane-wave DFT calculation with PBE-GGA was carried out for an optimized crystal structure of Pa2Si2W.

Lattice parameters (Å, degrees): 4.3193 6.7302 6.7302 90.00 90.00 90.00
Sites, in units of the cell vectors:
Pa (0.5000, 0.1767, 0.6767)
Pa (0.5000, 0.6767, 0.8233)
Pa (0.5000, 0.8233, 0.3233)
Pa (0.5000, 0.3233, 0.1767)
Si (0.0000, 0.3723, 0.8723)
Si (0.0000, 0.8723, 0.6277)
Si (0.0000, 0.6277, 0.1277)
Si (0.0000, 0.1277, 0.3723)
W (0.0000, 0.0000, 0.0000)
W (0.0000, 0.5000, 0.5000)

Formation energy from raw total energies: -0.45 eV/atom
VASP energy: -90.05 eV/cell
M_tot: 0.0 μB per formula unit

***

# 5
A plane-wave DFT calculation with PBE-GGA was carried out for an optimized crystal structure of Pa2Si4W3.

Lattice parameters (Å, degrees): 6.8222 6.9140 6.9398 90.00 90.00 109.94
Sites, in units of the cell vectors:
Pa (0.5579, 0.1899, 0.3338)
Pa (0.9421, 0.8101, 0.8338)
Pa (0.4421, 0.8101, 0.6662)
Pa (0.0579, 0.1899, 0.1662)
Si (0.8698, 0.0906, 0.5462)
Si (0.6302, 0.9094, 0.0462)
Si (0.1302, 0.9094, 0.4538)
Si (0.3698, 0.0906, 0.9538)
Si (0.8671, 0.5063, 0.1340)
Si (0.6329, 0.4937, 0.6340)
Si (0.1329, 0.4937, 0.8660)
Si (0.3671, 0.5063, 0.3660)
W (0.0000, 0.5000, 0.5000)
W (0.5000, 0.5000, 0.0000)
W (0.7549, 0.2424, 0.8392)
W (0.7451, 0.7576, 0.3392)
W (0.2451, 0.7576, 0.1608)
W (0.2549, 0.2424, 0.6608)

Formation energy from raw total energies: -0.42 eV/atom
VASP energy: -166.73 eV/cell
M_tot: 0.0 μB per formula unit

***

# 6
A plane-wave DFT calculation with PBE-GGA was carried out for an optimized crystal structure of PaSi2W.

Lattice parameters (Å, degrees): 3.2606 3.2606 6.4897 90.00 90.00 90.00
Sites, in units of the cell vectors:
Si (0.0000, 0.0000, 0.8008)
Si (0.0000, 0.0000, 0.1992)
Pa (0.5000, 0.5000, 0.5000)
W (0.5000, 0.5000, 0.0000)

Formation energy from raw total energies: -0.14 eV/atom
VASP energy: -33.87 eV/cell
M_tot: 0.0 μB per formula unit

***

# 7
A plane-wave DFT calculation with PBE-GGA was carried out for an optimized crystal structure of Pa2Si3W.

Lattice parameters (Å, degrees): 3.7161 6.9940 18.2484 90.00 90.00 90.00
Sites, in units of the cell vectors:
Pa (0.2500, 0.6547, 0.5862)
Pa (0.7500, 0.8453, 0.0862)
Pa (0.2500, 0.1547, 0.9138)
Pa (0.7500, 0.3453, 0.4138)
Pa (0.2500, 0.6824, 0.8068)
Pa (0.7500, 0.8176, 0.3068)
Pa (0.2500, 0.1824, 0.6932)
Pa (0.7500, 0.3176, 0.1932)
Si (0.2500, 0.7585, 0.9662)
Si (0.7500, 0.7415, 0.4662)
Si (0.2500, 0.2585, 0.5338)
Si (0.7500, 0.2415, 0.0338)
Si (0.2500, 0.9919, 0.1971)
Si (0.7500, 0.5081, 0.6971)
Si (0.2500, 0.4919, 0.3029)
Si (0.7500, 0.0081, 0.8029)
Si (0.2500, 0.6454, 0.1853)
Si (0.7500, 0.8546, 0.6853)
Si (0.2500, 0.1454, 0.3147)
Si (0.7500, 0.3546, 0.8147)
W (0.2500, 0.9828, 0.4398)
W (0.7500, 0.5172, 0.9398)
W (0.2500, 0.4828, 0.0602)
W (0.7500, 0.0172, 0.5602)

Formation energy from raw total energies: -0.35 eV/atom
VASP energy: -201.32 eV/cell
M_tot: 0.0 μB per formula unit

***

# 8
A plane-wave DFT calculation with PBE-GGA was carried out for an optimized crystal structure of Pa3Si7W.

Lattice parameters (Å, degrees): 4.0320 9.6475 10.5641 90.00 90.00 102.06
Sites, in units of the cell vectors:
Pa (0.1106, 0.2212, 0.4444)
Pa (0.8894, 0.7788, 0.5556)
Pa (0.2284, 0.4567, 0.7500)
Pa (0.7716, 0.5433, 0.2500)
Pa (0.1106, 0.2212, 0.0556)
Pa (0.8894, 0.7788, 0.9444)
Si (0.3804, 0.7608, 0.7500)
Si (0.6196, 0.2392, 0.2500)
Si (0.5034, 0.0068, 0.3801)
Si (0.4966, 0.9932, 0.6199)
Si (0.4966, 0.9932, 0.8801)
Si (0.5034, 0.0068, 0.1199)
Si (0.3772, 0.7545, 0.3590)
Si (0.6228, 0.2455, 0.6410)
Si (0.2707, 0.5414, 0.4625)
Si (0.7293, 0.4586, 0.5375)
Si (0.7293, 0.4586, 0.9625)
Si (0.2707, 0.5414, 0.0375)
Si (0.3772, 0.7545, 0.1410)
Si (0.6228, 0.2455, 0.8590)
W (0.9461, 0.8923, 0.2500)
W (0.0539, 0.1077, 0.7500)

Formation energy from raw total energies: -0.35 eV/atom
VASP energy: -166.56 eV/cell
M_tot: 0.0 μB per formula unit

***

Please write out number 1 again, unchanged.
A plane-wave DFT calculation with PBE-GGA was carried out for an optimized crystal structure of PaVSi.

Lattice parameters (Å, degrees): 4.5790 8.0049 5.7536 90.00 90.00 90.00
Sites, in units of the cell vectors:
V (0.7500, 0.2872, 0.8317)
V (0.2500, 0.7128, 0.1683)
V (0.7500, 0.2128, 0.3317)
V (0.2500, 0.7872, 0.6683)
Pa (0.2500, 0.1010, 0.9085)
Pa (0.7500, 0.8990, 0.0915)
Pa (0.2500, 0.3990, 0.4085)
Pa (0.7500, 0.6010, 0.5915)
Si (0.7500, 0.5230, 0.1114)
Si (0.2500, 0.4770, 0.8886)
Si (0.7500, 0.9770, 0.6114)
Si (0.2500, 0.0230, 0.3886)

Formation energy from raw total energies: -0.19 eV/atom
Relative energy among the computed polymorphs: 242 meV per atom
VASP energy: -98.39 eV/cell
M_tot: 0.0 μB per formula unit

***

Please write out number 3 again, unchanged.
A plane-wave DFT calculation with PBE-GGA was carried out for an optimized crystal structure of Pa2SiW.

Lattice parameters (Å, degrees): 3.6768 3.6768 6.1645 90.00 90.00 90.00
Sites, in units of the cell vectors:
Si (0.5000, 0.5000, 0.0000)
Pa (0.0000, 0.0000, 0.7693)
Pa (0.0000, 0.0000, 0.2307)
W (0.5000, 0.5000, 0.5000)

Formation energy from raw total energies: -0.09 eV/atom
Relative energy among the computed polymorphs: 11 meV per atom
VASP energy: -37.72 eV/cell
M_tot: 0.0 μB per formula unit